Entry 1:
The following is a PBE-GGA calculation of a relaxed structure of ZrIrSeBr2, from Alexandria via LeMat-Bulk.

Calculated values
E = -0.319 Ry/atom
space group = No. 123
ΔE_f (raw) = 48.6 kJ per mole of atoms
total moment = 0.083 μB/f.u.

a = 4.963 Å, b = 4.963 Å, c = 4.970 Å
α = 90.00°, β = 90.00°, γ = 90.00°
Element x y z (fractional)
Zr (0.000, 0.000, 0.000)
Ir (0.500, 0.500, 0.500)
Se (0.500, 0.500, 0.000)
Br (0.000, 0.500, 0.500)
Br (0.500, 0.000, 0.500)

***

Entry 2:
The following is a PBE-GGA calculation of a relaxed structure of ZrIrSeBr2, from Alexandria via LeMat-Bulk.

Calculated values
E = -0.322 Ry/atom
space group = No. 123
ΔE_f (raw) = 45.7 kJ per mole of atoms
total moment = 3.110 μB/f.u.

a = 5.321 Å, b = 5.321 Å, c = 5.203 Å
α = 90.00°, β = 90.00°, γ = 90.00°
Element x y z (fractional)
Zr (0.000, 0.000, 0.000)
Ir (0.500, 0.500, 0.500)
Se (0.000, 0.000, 0.500)
Br (0.000, 0.500, 0.000)
Br (0.500, 0.000, 0.000)

***

Entry 3:
The following is a PBE-GGA calculation of a relaxed structure of ZrIrSe2Br, from Alexandria via LeMat-Bulk.

Calculated values
E = -0.343 Ry/atom
space group = No. 123
ΔE_f (raw) = 51.8 kJ per mole of atoms
total moment = 2.668 μB/f.u.

a = 5.222 Å, b = 5.222 Å, c = 5.180 Å
α = 90.00°, β = 90.00°, γ = 90.00°
Element x y z (fractional)
Zr (0.000, 0.000, 0.000)
Ir (0.500, 0.500, 0.500)
Se (0.000, 0.500, 0.000)
Se (0.500, 0.000, 0.000)
Br (0.000, 0.000, 0.500)

***

Entry 4:
The following is a PBE-GGA calculation of a relaxed structure of Si2IrBr, from Alexandria via LeMat-Bulk.

Calculated values
E = -0.383 Ry/atom
space group = No. 47
ΔE_f (raw) = 13.0 kJ per mole of atoms
total moment = 0.000 μB/f.u.

a = 2.678 Å, b = 3.550 Å, c = 8.291 Å
α = 90.00°, β = 90.00°, γ = 90.00°
Element x y z (fractional)
Si (0.000, 0.000, 0.164)
Si (0.000, 0.000, 0.836)
Ir (0.500, 0.500, 0.000)
Br (0.500, 0.500, 0.500)

***

Entry 5:
The following is a PBE-GGA calculation of a relaxed structure of Si2IrBr, from Alexandria via LeMat-Bulk.

Calculated values
E = -0.381 Ry/atom
space group = No. 65
ΔE_f (raw) = 15.3 kJ per mole of atoms
total moment = 0.000 μB/f.u.

a = 5.387 Å, b = 5.387 Å, c = 3.028 Å
α = 90.00°, β = 90.00°, γ = 124.78°
Element x y z (fractional)
Si (0.203, 0.797, 0.000)
Si (0.797, 0.203, 0.000)
Ir (0.000, 0.000, 0.500)
Br (0.500, 0.500, 0.500)

***

Entry 6:
The following is a PBE-GGA calculation of a relaxed structure of Si2IrBr, from Alexandria via LeMat-Bulk.

Calculated values
E = -0.388 Ry/atom
space group = No. 6
ΔE_f (raw) = 6.5 kJ per mole of atoms
total moment = 0.000 μB/f.u.

a = 4.597 Å, b = 3.511 Å, c = 5.847 Å
α = 90.00°, β = 94.52°, γ = 90.00°
Element x y z (fractional)
Si (0.000, 0.000, 0.000)
Si (0.363, 0.500, 0.131)
Ir (0.861, 0.500, 0.227)
Br (0.785, 0.000, 0.614)